Record 1
GGA-PBE TiTe2PW, optimized geometry; VASP energy = -5.165 eV per atom
1.0
5.179 0.000 0.000
0.000 5.179 0.000
0.000 0.000 4.671
Ti Te P W
1 2 1 1
Cartesian
0.000 0.000 0.000 Ti
0.000 2.590 0.000 Te
2.590 0.000 0.000 Te
2.590 2.590 2.336 P
0.000 0.000 2.336 W

=====

Record 2
GGA-PBE Ti2ZnTeP, optimized geometry; VASP energy = -5.222 eV per atom
1.0
4.781 0.000 0.000
0.000 4.781 0.000
0.000 0.000 4.377
Ti Zn Te P
2 1 1 1
Cartesian
0.000 2.390 0.000 Ti
2.390 0.000 0.000 Ti
0.000 0.000 2.189 Zn
2.390 2.390 2.189 Te
0.000 0.000 0.000 P

=====

Record 3
GGA-PBE Tl2TeP, optimized geometry; VASP energy = -2.977 eV per atom; offset from the most stable computed form = 0.235 eV per atom
1.0
0.000 3.790 3.790
3.790 0.000 3.790
3.790 3.790 0.000
Tl Te P
2 1 1
Cartesian
1.895 1.895 1.895 Tl
5.685 5.685 5.685 Tl
0.000 0.000 0.000 Te
3.790 3.790 3.790 P

=====

VASP energy of number 1 (TiTe2PW)?
-5.165 eV per atom